(1)
VASP calculation (PBE) on crystalline Ce4SeS2Cl at its relaxed geometry.

abc: 4.0616 7.1275 6.9833
angles: 70.66 90.00 90.00
Last column: nearest neighbours and their distance in Å.
Atoms (fractional coordinates):
1 Cl 0.0000 0.5000 0.5000  6 Ce 2.94
2 Ce 0.5000 0.7670 0.2451  3 S 2.81-2.82, 2 Cl 2.94, 1 Se 2.95
3 Ce 0.0000 0.2330 0.2562  3 S 2.81-2.82, 1 Cl 2.94, 2 Se 2.95
4 Ce 0.5000 0.2330 0.7549  3 S 2.81-2.82, 2 Cl 2.94, 1 Se 2.95
5 Ce 0.0000 0.7670 0.7438  3 S 2.81-2.82, 1 Cl 2.94, 2 Se 2.95
6 S 0.0000 0.0000 0.0000  6 Ce 2.82
7 S 0.5000 0.0000 0.5000  6 Ce 2.81
8 Se 0.5000 0.5000 0.0000  6 Ce 2.95

DOS(E_F)   2.66 states/eV per atom
E_form (uncorrected)   -1.8353 eV per atom
Electronic total energy   -6.500 eV/atom

=====

(2)
VASP calculation (PBE) on crystalline PuSnH at its relaxed geometry.

abc: 3.2914 4.2852 8.9091
angles: 94.40 90.00 112.58
Last column: nearest neighbours and their distance in Å.
Atoms (fractional coordinates):
1 Pu 0.3796 0.7591 0.8525  5 H 2.33-2.57
2 Pu 0.6204 0.2409 0.1475  5 H 2.33-2.57
3 Sn 0.3518 0.7037 0.3966  3 Sn 2.86-3.03, 1 Pu 3.20
4 Sn 0.6482 0.2963 0.6034  3 Sn 2.86-3.03, 1 Pu 3.20
5 H 0.1135 0.2269 0.9469  1 H 2.10, 1 Pu 2.33
6 H 0.8865 0.7731 0.0531  1 H 2.10, 1 Pu 2.33

DOS(E_F)   2.19 states/eV per atom
Electronic total energy   -7.405 eV/atom

=====

(3)
VASP calculation (PBE) on crystalline PrGa3NiRu at its relaxed geometry.

abc: 5.8879 7.4723 6.5568
angles: 124.74 90.00 90.00
Last column: nearest neighbours and their distance in Å.
Atoms (fractional coordinates):
1 Pr 0.2500 0.7762 0.5524  1 Ni 2.94, 2 Ga 3.04, 1 Ru 3.19
2 Pr 0.7500 0.2238 0.4476  1 Ni 2.94, 2 Ga 3.04, 1 Ru 3.19
3 Ga 0.0000 0.7508 0.0000  2 Ni 2.38, 2 Ru 2.50
4 Ga 0.5000 0.7508 0.0000  2 Ni 2.38, 2 Ru 2.50
5 Ga 0.7500 0.7071 0.4143  1 Ni 2.27, 1 Ru 2.37
6 Ga 0.0000 0.2492 0.0000  2 Ni 2.38, 2 Ru 2.50
7 Ga 0.5000 0.2492 0.0000  2 Ni 2.38, 2 Ru 2.50
8 Ga 0.2500 0.2929 0.5857  1 Ni 2.27, 1 Ru 2.37
9 Ni 0.2500 0.5035 0.0070  5 Ga 2.27-2.38
10 Ni 0.7500 0.4965 0.9930  5 Ga 2.27-2.38
11 Ru 0.2500 0.0726 0.1453  5 Ga 2.37-2.50
12 Ru 0.7500 0.9274 0.8547  5 Ga 2.37-2.50

DOS(E_F)   0.44 states/eV per atom
DFT formation energy   -0.339 eV/atom
Electronic total energy   -5.158 eV/atom